(1)
Material: TcRu2
Method: DFT, GGA-PBE
State: relaxed

Output
Calculated formation energy   1.0328 eV/atom

Lattice parameters (Å, degrees): 5.9029 5.9029 5.9029 90.00 90.00 90.00
Positions (direct):
1 Ru 0.1193 0.8807 0.3807
2 Ru 0.3807 0.3807 0.3807
3 Ru 0.1193 0.6193 0.8807
4 Ru 0.6193 0.6193 0.6193
5 Ru 0.3807 0.1193 0.8807
6 Ru 0.8807 0.3807 0.1193
7 Ru 0.6193 0.8807 0.1193
8 Ru 0.8807 0.1193 0.6193
9 Tc 0.5000 0.5000 0.0000
10 Tc 0.5000 0.0000 0.5000
11 Tc 0.0000 0.0000 0.0000
12 Tc 0.0000 0.5000 0.5000

(2)
Material: Tc5Ru3
Method: DFT, GGA-PBE
State: relaxed

Output
Calculated formation energy   0.1860 eV/atom

Lattice parameters (Å, degrees): 4.8942 7.0394 7.8751 97.55 112.22 69.66
Positions (direct):
1 Tc 0.4366 0.8430 0.6987
2 Tc 0.7796 0.1570 0.6987
3 Tc 0.2212 0.8431 0.3021
4 Tc 0.5643 0.1569 0.3021
5 Tc 0.3341 0.3058 0.8336
6 Tc 0.2651 0.5000 0.5163
7 Tc 0.8610 0.3058 0.1673
8 Tc 0.6668 0.6942 0.1673
9 Tc 0.7357 0.5000 0.4845
10 Tc 0.1398 0.6942 0.8336
11 Ru 0.1744 0.1522 0.5004
12 Ru 0.2462 0.5000 0.1379
13 Ru 0.7744 0.9519 0.0004
14 Ru 0.7547 0.5000 0.8630
15 Ru 0.8266 0.8478 0.5004
16 Ru 0.2263 0.0481 0.0004

(3)
Material: TcRu2
Method: DFT, GGA-PBE
State: relaxed

Output
Calculated formation energy   0.3739 eV/atom

Lattice parameters (Å, degrees): 5.0702 5.0702 8.0201 90.00 90.00 120.00
Positions (direct):
1 Ru 0.1746 0.8254 0.7500
2 Ru 0.8254 0.1746 0.2500
3 Ru 0.0000 0.0000 0.5000
4 Ru 0.3491 0.1746 0.2500
5 Ru 0.0000 0.0000 0.0000
6 Ru 0.1746 0.3491 0.7500
7 Ru 0.6509 0.8254 0.7500
8 Ru 0.8254 0.6509 0.2500
9 Tc 0.3333 0.6667 0.0859
10 Tc 0.3333 0.6667 0.4141
11 Tc 0.6667 0.3333 0.9141
12 Tc 0.6667 0.3333 0.5859

(4)
Material: TcRu2
Method: DFT, GGA-PBE
State: relaxed

Output
Calculated formation energy   0.3036 eV/atom

Lattice parameters (Å, degrees): 4.9510 4.9510 4.9510 103.63 103.63 121.92
Positions (direct):
1 Ru 0.1416 0.6416 0.7832
2 Ru 0.3584 0.1416 0.5000
3 Ru 0.6416 0.8584 0.5000
4 Ru 0.8584 0.3584 0.2168
5 Tc 0.7500 0.7500 0.0000
6 Tc 0.2500 0.2500 0.0000

(5)
Material: TcRu2
Method: DFT, GGA-PBE
State: relaxed

Output
Calculated formation energy   0.1369 eV/atom

Lattice parameters (Å, degrees): 4.2936 4.2937 5.4049 90.00 90.00 120.00
Positions (direct):
1 Ru 0.4999 0.9998 0.7779
2 Ru 0.1667 0.3333 0.5279
3 Ru 0.5001 0.0002 0.2779
4 Ru 0.8333 0.6667 0.0279
5 Tc 0.8334 0.6667 0.5279
6 Tc 0.1666 0.3333 0.0279

(6)
Material: Tc4Ru3
Method: DFT, GGA-PBE
State: relaxed

Output
Calculated formation energy   0.3741 eV/atom

Lattice parameters (Å, degrees): 10.1912 10.1912 10.1912 161.86 161.86 25.77
Site moments in Bohr magnetons follow the coordinates.
Positions (direct):
1 Ru 0.7153 0.7153 0.0000  0.51
2 Ru 0.0000 0.0000 0.0000  0.27
3 Ru 0.2847 0.2847 0.0000  0.51
4 Tc 0.4240 0.4240 0.0000  0.06
5 Tc 0.1410 0.1410 0.0000  0.06
6 Tc 0.5760 0.5760 0.0000  0.06
7 Tc 0.8590 0.8590 0.0000  0.06

(7)
Material: TcRu3
Method: DFT, GGA-PBE
State: relaxed

Output
Calculated formation energy   0.0641 eV/atom

Lattice parameters (Å, degrees): 3.8339 3.8339 3.8339 90.00 90.00 90.00
Positions (direct):
1 Tc 0.5000 0.5000 0.0000
2 Ru 0.0000 0.5000 0.5000
3 Ru 0.5000 0.0000 0.5000
4 Ru 0.0000 0.0000 0.0000

(8)
Material: TcRu3
Method: DFT, GGA-PBE
State: relaxed

Output
Calculated formation energy   -0.0681 eV/atom

Lattice parameters (Å, degrees): 5.4684 5.4684 4.3260 90.00 90.00 120.00
Positions (direct):
1 Ru 0.6662 0.8331 0.7500
2 Ru 0.1669 0.3338 0.7500
3 Ru 0.1669 0.8331 0.7500
4 Ru 0.8331 0.6662 0.2500
5 Ru 0.8331 0.1669 0.2500
6 Ru 0.3338 0.1669 0.2500
7 Tc 0.6667 0.3333 0.7500
8 Tc 0.3333 0.6667 0.2500

(9)
Material: Tc4Ru
Method: DFT, GGA-PBE
State: relaxed

Output
Calculated formation energy   1.4638 eV/atom

Lattice parameters (Å, degrees): 4.8989 4.8989 4.8989 109.47 109.47 109.47
Positions (direct):
1 Tc 0.0000 0.5000 0.0000
2 Tc 0.5000 0.5000 0.5000
3 Tc 0.0000 0.0000 0.5000
4 Tc 0.5000 0.0000 0.0000
5 Ru 0.0000 0.0000 0.0000

(10)
Material: Tc2Ru
Method: DFT, GGA-PBE
State: relaxed

Output
Calculated formation energy   -0.0466 eV/atom

Lattice parameters (Å, degrees): 4.3494 4.7653 8.2841 90.00 90.00 90.00
Positions (direct):
1 Tc 0.7500 0.1645 0.3326
2 Tc 0.7500 0.1662 0.9970
3 Tc 0.7500 0.6645 0.1674
4 Tc 0.2500 0.8355 0.6674
5 Tc 0.2500 0.8338 0.0030
6 Tc 0.2500 0.3338 0.4970
7 Tc 0.2500 0.3355 0.8326
8 Tc 0.7500 0.6662 0.5030
9 Ru 0.2500 0.8322 0.3332
10 Ru 0.2500 0.3322 0.1668
11 Ru 0.7500 0.6678 0.8332
12 Ru 0.7500 0.1678 0.6668

(11)
Material: TcRu2
Method: DFT, GGA-PBE
State: relaxed

Output
Calculated formation energy   0.0486 eV/atom

Lattice parameters (Å, degrees): 7.3551 7.3551 2.7381 90.00 90.00 120.00
Positions (direct):
1 Tc 0.6667 0.3333 0.0000
2 Tc 0.0000 0.0000 0.5000
3 Tc 0.3333 0.6667 0.0000
4 Ru 0.6982 0.6982 0.0000
5 Ru 0.3018 0.0000 0.0000
6 Ru 0.6409 0.0000 0.5000
7 Ru 0.3591 0.3591 0.5000
8 Ru 0.0000 0.3018 0.0000
9 Ru 0.0000 0.6409 0.5000

(12)
Material: TcRu3
Method: DFT, GGA-PBE
State: relaxed

Output
Calculated formation energy   0.5264 eV/atom

Lattice parameters (Å, degrees): 4.3421 4.3421 4.3421 60.00 60.00 60.00
Site moments in Bohr magnetons follow the coordinates.
Positions (direct):
1 Ru 0.2500 0.2500 0.2500  0.57
2 Ru 0.0000 0.0000 0.0000  0.21
3 Ru 0.5000 0.5000 0.5000  0.21
4 Tc 0.7500 0.7500 0.7500  -0.13

Q: The highest calculated formation energy belongs to which entry?
A: Tc4Ru